{
  "formula": "GeBIr2",
  "functional": "PBE",
  "state": "relaxed",
  "lattice_angstrom": [[5.1821, 0.0000, 0.0000], [0.0000, 5.1821, 0.0000], [2.5911, 2.5911, 4.9638]],
  "species": ["Ge", "Ge", "Ir", "Ir", "Ir", "Ir", "B", "B"],
  "fractional_positions": [[0.0000, 0.0000, 0.0000], [0.7500, 0.2500, 0.5000], [0.5604, 0.1250, 0.2500], [0.1896, 0.6250, 0.2500], [0.3750, 0.4396, 0.7500], [0.8750, 0.8104, 0.7500], [0.5000, 0.5000, 0.0000], [0.2500, 0.7500, 0.5000]],
  "e_tot_ev_per_atom": -7.143,
  "e_form_ev_per_fu": 0.4,
  "de_polymorph_ev_per_atom": 0.197
}